9
Lattice="2.829 -5.119 0.000 2.829 5.119 0.000 -0.353 0.000 4.937" Properties=species:S:1:pos:R:3 comment="SrHgRuO6, optimized geometry, DFT PBE" raw_formation_energy_ev_per_atom=-1.004 e_tot_ev_per_atom=-5.56 pbc="T T T"
Sr 0.000 0.000 0.000
Hg 2.653 -1.576 2.468
Ru 2.653 1.814 2.468
O 1.474 2.179 1.155
O 1.653 0.602 3.374
O 0.850 -1.701 1.520
O 3.831 2.179 3.782
O 3.652 0.602 1.563
O 4.455 -1.701 3.417